1.
Here is an optimized crystal structure of RbTlCd2F8 from Alexandria. Energies are from PBE.

Its uncorrected formation energy is -2.1155 eV per atom.

It has space group P2/m (No. 10), with a = 4.207 Å, b = 7.703 Å, c = 5.719 Å, α = 90.00°, β = 90.44° and γ = 90.00°. The asymmetric unit holds Rb at (0.000, 0.000, 0.000), Tl at (0.000, 0.500, 0.000), Cd at (0.500, 0.249, 0.500), F at (0.001, 0.291, 0.266), F at (0.497, 0.000, 0.718) and F at (0.500, 0.500, 0.238).

2.
Here is an optimized crystal structure of Ca2TlRuO6 from Alexandria. Energies are from PBE.

Its uncorrected formation energy is -1.5589 eV per atom.

It has space group P4mm (No. 99), with a = 5.540 Å, b = 5.540 Å, c = 5.207 Å, α = 90.00°, β = 90.00° and γ = 90.00°. The asymmetric unit holds Ca at (0.000, 0.500, 0.000), Tl at (0.000, 0.000, 0.567), Ru at (0.500, 0.500, 0.621), O at (0.000, 0.000, 0.158), O at (0.271, 0.271, 0.760) and O at (0.500, 0.500, 0.282).

3.
Here is an optimized crystal structure of TbPr3Nd6Y2 from Alexandria. Energies are from PBE.

The value obtained for the energy of formation from the pure elements is 0.0136 eV per atom.

It has space group C2/m (No. 12), with a = 6.355 Å, b = 11.011 Å, c = 12.111 Å, α = 90.00°, β = 100.10° and γ = 90.00°. The asymmetric unit holds Tb at (0.000, 0.000, 0.000), Pr at (0.000, 0.167, 0.500), Pr at (0.000, 0.500, 0.500), Nd at (0.249, 0.166, 0.246), Nd at (0.250, 0.000, 0.754) and Y at (0.000, 0.333, 0.000).

4.
Here is an optimized crystal structure of K2U2S5 from Alexandria. Energies are from PBE.

As for the excess energy over the best structure of this formula in the dataset: 0.000 eV per formula unit. Its uncorrected formation energy is -1.4131 eV per atom.

It has space group Cmce (No. 64), with a = 15.522 Å, b = 7.567 Å, c = 7.573 Å, α = 90.00°, β = 90.00° and γ = 90.00°. The asymmetric unit holds K at (0.206, 0.000, 0.000), U at (0.000, 0.162, 0.338), S at (0.000, 0.000, 0.000) and S at (0.111, 0.145, 0.645).

5.
Here is an optimized crystal structure of Y3LuO from Alexandria. Energies are from PBE.

Its uncorrected formation energy is -1.0869 eV per atom.

It has space group Pm-3m (No. 221), with a = 4.936 Å, b = 4.936 Å, c = 4.936 Å, α = 90.00°, β = 90.00° and γ = 90.00°. The asymmetric unit holds Y at (0.000, 0.000, 0.500), Lu at (0.500, 0.500, 0.500) and O at (0.000, 0.000, 0.000).

6.
Here is an optimized crystal structure of BaAsS2O from Alexandria. Energies are from PBE.

Its uncorrected formation energy is -0.3399 eV per atom.

It has space group P4/mmm (No. 123), with a = 5.235 Å, b = 5.235 Å, c = 3.961 Å, α = 90.00°, β = 90.00° and γ = 90.00°. The asymmetric unit holds Ba at (0.000, 0.000, 0.000), As at (0.500, 0.500, 0.000), S at (0.000, 0.500, 0.500) and O at (0.500, 0.500, 0.500).

7.
Here is an optimized crystal structure of CaBi4 from Alexandria. Energies are from PBE.

As for the excess energy over the best structure of this formula in the dataset: 4.068 eV per formula unit. The value obtained for the energy of formation from the pure elements is 0.5542 eV per atom.

It has space group Pm-3m (No. 221), with a = 5.818 Å, b = 5.818 Å, c = 5.818 Å, α = 90.00°, β = 90.00° and γ = 90.00°. The asymmetric unit holds Ca at (0.000, 0.000, 0.000), Bi at (0.000, 0.000, 0.500) and Bi at (0.500, 0.500, 0.500).

8.
Here is an optimized crystal structure of KNaIn2 from Alexandria. Energies are from PBE.

As for the excess energy over the best structure of this formula in the dataset: 0.347 eV per formula unit. The value obtained for the energy of formation from the pure elements is -0.0136 eV per atom.

It has space group P4/mmm (No. 123), with a = 3.890 Å, b = 3.890 Å, c = 8.561 Å, α = 90.00°, β = 90.00° and γ = 90.00°. The asymmetric unit holds K at (0.000, 0.000, 0.000), Na at (0.000, 0.000, 0.500) and In at (0.500, 0.500, 0.304).

9.
Here is an optimized crystal structure of YBr3Cl from Alexandria. Energies are from PBE.

As for the excess energy over the best structure of this formula in the dataset: 6.067 eV per formula unit. Its uncorrected formation energy is 0.0559 eV per atom.

It has space group Pm-3m (No. 221), with a = 5.420 Å, b = 5.420 Å, c = 5.420 Å, α = 90.00°, β = 90.00° and γ = 90.00°. The asymmetric unit holds Y at (0.000, 0.000, 0.000), Br at (0.000, 0.500, 0.500) and Cl at (0.500, 0.500, 0.500).

10.
Here is an optimized crystal structure of Er2Tm5Th3 from Alexandria. Energies are from PBE.

The value obtained for the energy of formation from the pure elements is 0.2343 eV per atom.

It has space group C2/c (No. 15), with a = 10.593 Å, b = 16.609 Å, c = 8.973 Å, α = 90.00°, β = 126.10° and γ = 90.00°. The asymmetric unit holds Er at (0.147, 0.120, 0.042), Tm at (0.000, 0.030, 0.250), Tm at (0.000, 0.219, 0.250), Tm at (0.000, 0.469, 0.750), Tm at (0.245, 0.122, 0.744), Th at (0.000, 0.272, 0.750) and Th at (0.135, 0.374, 0.526).